[1]
Here is DyHo4Bi5 after structural relaxation from OQMD. Energies are from PBE.

The space group is I4/mmm (No. 139) and the conventional cell measures 4.4498, 4.4498 and 31.4648 Å, with angles of 90.00, 90.00 and 90.00 degrees. Symmetry generates all atoms from Dy at (0.0000, 0.0000, 0.0000), Ho at (0.0000, 0.0000, 0.2002), Ho at (0.0000, 0.0000, 0.4000), Bi at (0.0000, 0.0000, 0.1002), Bi at (0.0000, 0.0000, 0.3000) and Bi at (0.0000, 0.0000, 0.5000).

The total energy is -5.1728 eV/atom. The calculation puts the total magnetic moment at 0.0 μB/f.u.


[2]
Here is Dy2HoBi3 after structural relaxation from OQMD. Energies are from PBE.

The space group is P-3m1 (No. 164) and the conventional cell measures 4.4493, 4.4493 and 10.9724 Å, with angles of 90.00, 90.00 and 120.00 degrees. Symmetry generates all atoms from Dy at (0.3333, 0.6667, 0.3333), Ho at (0.0000, 0.0000, 0.0000), Bi at (0.0000, 0.0000, 0.5000) and Bi at (0.3333, 0.6667, 0.8335).

The total energy is -5.1887 eV/atom. The calculation puts the total magnetic moment at 0.0 μB/f.u.


[3]
Here is Dy2Ho3LuBi2Os after structural relaxation from OQMD. Energies are from PBE.

The space group is Amm2 (No. 38) and the conventional cell measures 4.2260, 14.2142 and 8.2756 Å, with angles of 90.00, 90.00 and 90.00 degrees. Symmetry generates all atoms from Dy at (0.0000, 0.1158, 0.0000), Ho at (0.5000, 0.0000, 0.7249), Ho at (0.5000, 0.1926, 0.3091), Lu at (0.0000, 0.0000, 0.3512), Bi at (0.0000, 0.1652, 0.6152) and Os at (0.5000, 0.0000, 0.1293).

The total energy is -5.7485 eV/atom. The calculation puts the total magnetic moment at 0.0 μB/f.u.


[4]
Here is Dy3Ho2LuBi2Os after structural relaxation from OQMD. Energies are from PBE.

The space group is Amm2 (No. 38) and the conventional cell measures 4.2322, 14.2318 and 8.2753 Å, with angles of 90.00, 90.00 and 90.00 degrees. Symmetry generates all atoms from Dy at (0.0000, 0.0000, 0.0000), Dy at (0.0000, 0.1931, 0.5833), Ho at (0.5000, 0.1158, 0.2737), Lu at (0.5000, 0.0000, 0.6217), Bi at (0.5000, 0.1655, 0.8886) and Os at (0.0000, 0.0000, 0.3965).

The total energy is -5.7666 eV/atom. The calculation puts the total magnetic moment at 0.0 μB/f.u.


[5]
Here is Dy2HoLu3Bi2Os after structural relaxation from OQMD. Energies are from PBE.

The space group is Amm2 (No. 38) and the conventional cell measures 4.2313, 14.1749 and 8.1750 Å, with angles of 90.00, 90.00 and 90.00 degrees. Symmetry generates all atoms from Dy at (0.0000, 0.1929, 0.0000), Ho at (0.0000, 0.0000, 0.4219), Lu at (0.5000, 0.0000, 0.0366), Lu at (0.5000, 0.1151, 0.6918), Bi at (0.5000, 0.1664, 0.3072) and Os at (0.0000, 0.0000, 0.8057).

The total energy is -5.7741 eV/atom. The calculation puts the total magnetic moment at 0.0 μB/f.u.


[6]
Here is Dy3Ho3Bi2Os after structural relaxation from OQMD. Energies are from PBE.

The space group is Amm2 (No. 38) and the conventional cell measures 4.2414, 14.3450 and 8.2854 Å, with angles of 90.00, 90.00 and 90.00 degrees. Symmetry generates all atoms from Dy at (0.0000, 0.0000, 0.0000), Dy at (0.0000, 0.1934, 0.4191), Ho at (0.5000, 0.0000, 0.3798), Ho at (0.5000, 0.1165, 0.7292), Bi at (0.5000, 0.1665, 0.1129) and Os at (0.0000, 0.0000, 0.6118).

The total energy is -5.7604 eV/atom. Its offset from the most stable computed form is 0.00 eV per formula unit. The calculation puts the total magnetic moment at 0.1 μB/f.u.


[7]
Here is Dy3Ho3Bi2Os after structural relaxation from OQMD. Energies are from PBE.

The space group is P-62m (No. 189) and the conventional cell measures 8.2876, 8.2876 and 4.2366 Å, with angles of 90.00, 90.00 and 120.00 degrees. Symmetry generates all atoms from Dy at (0.0000, 0.3866, 0.0000), Ho at (0.0000, 0.7667, 0.5000), Bi at (0.3333, 0.6667, 0.5000) and Os at (0.0000, 0.0000, 0.0000).

The total energy is -5.7603 eV/atom. Its offset from the most stable computed form is 0.00 eV per formula unit. The calculation puts the total magnetic moment at 0.1 μB/f.u.


[8]
Here is Dy3Ho3Bi2Os after structural relaxation from OQMD. Energies are from PBE.

The space group is P-62m (No. 189) and the conventional cell measures 8.2942, 8.2942 and 4.2378 Å, with angles of 90.00, 90.00 and 120.00 degrees. Symmetry generates all atoms from Dy at (0.0000, 0.7663, 0.0000), Ho at (0.0000, 0.3865, 0.5000), Bi at (0.3333, 0.6667, 0.0000) and Os at (0.0000, 0.0000, 0.5000).

The total energy is -5.7407 eV/atom. Its offset from the most stable computed form is 0.18 eV per formula unit. The calculation puts the total magnetic moment at 0.0 μB/f.u.